Computed, not measured: a relaxed Pm3Hg2BIr3 crystal at the GGA-PBE level of DFT.

a = 7.737 Å, b = 7.737 Å, c = 3.547 Å
α = 90.00°, β = 90.00°, γ = 120.00°
Element x y z (fractional)
Pm 0.000 0.361 0.000
Pm 0.361 0.000 0.000
Pm 0.639 0.639 0.000
Hg 0.333 0.667 0.500
Hg 0.667 0.333 0.500
B 0.000 0.000 0.000
Ir 0.000 0.793 0.500
Ir 0.207 0.207 0.500
Ir 0.793 0.000 0.500

The value obtained for the density of states at the Fermi level is 5.377 states/eV/cell. The electronic total energy is -51.58 eV/f.u. The space group is No. 189. Its crystal system is hexagonal. The energy of formation is -0.39 eV per atom.